(1)
A relaxed Be3BW crystal, computed with PBE.

Properties
Space group: Pm-3m
E above lowest polymorph, eV/atom: 0.745

Unit cell a=3.6341 b=3.6341 c=3.6341 alpha=90.00 beta=90.00 gamma=90.00
Element x y z (fractional)
Be 0.0000 0.5000 0.0000
Be 0.0000 0.0000 0.5000
Be 0.5000 0.0000 0.0000
B 0.0000 0.0000 0.0000
W 0.5000 0.5000 0.5000

***

(2)
A relaxed BeBW2 crystal, computed with PBE.

Properties
Space group: R-3m
E above lowest polymorph, eV/atom: 0.430

Unit cell a=3.1758 b=3.1758 c=5.7030 alpha=73.83 beta=73.83 gamma=60.00
Element x y z (fractional)
Be 0.0000 0.0000 0.0000
W 0.2428 0.2428 0.2718
W 0.7572 0.7572 0.7282
B 0.5000 0.5000 0.5000

***

(3)
A relaxed BeB2W crystal, computed with PBE.

Properties
Space group: R-3m

Unit cell a=3.2124 b=3.2124 c=4.2508 alpha=67.80 beta=67.80 gamma=60.00
Element x y z (fractional)
B 0.2060 0.2060 0.3821
B 0.7940 0.7940 0.6179
W 0.0000 0.0000 0.0000
Be 0.5000 0.5000 0.5000

***

(4)
A relaxed BeBW2 crystal, computed with PBE.

Properties
Space group: P2_1/m
E above lowest polymorph, eV/atom: 0.000

Unit cell a=3.1719 b=4.5992 c=6.4333 alpha=110.39 beta=90.00 gamma=90.00
Element x y z (fractional)
W 0.7500 0.2079 0.9223
W 0.2500 0.7921 0.0777
W 0.2500 0.7962 0.5692
W 0.7500 0.2038 0.4308
Be 0.7500 0.6309 0.7817
Be 0.2500 0.3691 0.2183
B 0.7500 0.6298 0.2821
B 0.2500 0.3702 0.7179

***

Sequential electronic total energy output: -5.558 -9.018 -7.434 -9.449 eV per atom
Sequential size of the total moment output: 0.000 0.000 0.000 0.000 μB/cell